This record from Alexandria via LeMat-Bulk describes crystalline HfNbIn2 at its relaxed geometry. The functional is PBEsol.

Cell: 4.8223 4.8223 4.8223 Å, 60.00 60.00 60.00°
Fractional coordinates of all 4 atoms:
1 Nb 0.0000 0.0000 0.0000
2 Hf 0.5000 0.5000 0.5000
3 In 0.2500 0.2500 0.2500
4 In 0.7500 0.7500 0.7500

Computed properties:
energy relative to the elements	103.6	meV per atom